1.
K4PO5 after structural relaxation, computed with PBE-GGA.

Structure (CIF):
```
data_K4PO5
_space_group_name_H-M_alt 'I 4'
_space_group_IT_number 79
_space_group_name_Hall 'I 4'
_cell_length_a 7.658
_cell_length_b 7.658
_cell_length_c 7.620
_cell_angle_alpha 90.00
_cell_angle_beta 90.00
_cell_angle_gamma 90.00
loop_
_atom_site_label
_atom_site_type_symbol
_atom_site_fract_x
_atom_site_fract_y
_atom_site_fract_z
K1 K 0.148 0.309 0.000
P1 P 0.000 0.000 0.265
O1 O 0.000 0.000 0.055
O2 O 0.061 0.204 0.319
```

## Properties
Uncorrected formation energy: -1.65 eV/atom


2.
KPaP2O6 after structural relaxation, computed with PBE-GGA.

Structure (CIF):
```
data_KPaP2O6
_space_group_name_H-M_alt 'R -3'
_space_group_IT_number 148
_space_group_name_Hall '-R 3'
_cell_length_a 5.3719
_cell_length_b 5.3719
_cell_length_c 21.1343
_cell_angle_alpha 90.00
_cell_angle_beta 90.00
_cell_angle_gamma 120.00
loop_
_atom_site_label
_atom_site_type_symbol
_atom_site_fract_x
_atom_site_fract_y
_atom_site_fract_z
K1 K 0.0000 0.0000 0.0000
Pa1 Pa 0.0000 0.0000 0.5000
P1 P 0.0000 0.0000 0.2599
O1 O 0.0354 0.4283 0.8938
```

## Properties
Uncorrected formation energy: -2.46 eV/atom


3.
KPaP2O8 after structural relaxation, computed with PBE-GGA.

Structure (CIF):
```
data_KPaP2O8
_space_group_name_H-M_alt 'P -3'
_space_group_IT_number 147
_space_group_name_Hall '-P 3'
_cell_length_a 5.4094
_cell_length_b 5.4094
_cell_length_c 8.4877
_cell_angle_alpha 90.00
_cell_angle_beta 90.00
_cell_angle_gamma 120.00
loop_
_atom_site_label
_atom_site_type_symbol
_atom_site_fract_x
_atom_site_fract_y
_atom_site_fract_z
K1 K 0.0000 0.0000 0.0000
Pa1 Pa 0.0000 0.0000 0.5000
P1 P 0.3333 0.6667 0.7283
O1 O 0.1272 0.3643 0.6541
O2 O 0.3333 0.6667 0.9037
```

## Properties
Uncorrected formation energy: -2.68 eV/atom


4.
KPa2PO8 after structural relaxation, computed with PBE-GGA.

Structure (CIF):
```
data_KPa2PO8
_space_group_name_H-M_alt 'P -3 m 1'
_space_group_IT_number 164
_space_group_name_Hall '-P 3 2"'
_cell_length_a 5.0252
_cell_length_b 5.0252
_cell_length_c 8.1371
_cell_angle_alpha 90.00
_cell_angle_beta 90.00
_cell_angle_gamma 120.00
loop_
_atom_site_label
_atom_site_type_symbol
_atom_site_fract_x
_atom_site_fract_y
_atom_site_fract_z
K1 K 0.0000 0.0000 0.0000
Pa1 Pa 0.3333 0.6667 0.3610
P1 P 0.0000 0.0000 0.5000
O1 O 0.1615 0.3230 0.6185
O2 O 0.3333 0.6667 0.1294
```

## Properties
Uncorrected formation energy: -2.77 eV/atom


5.
KPPbO2 after structural relaxation, computed with PBE-GGA.

Structure (CIF):
```
data_KPPbO2
_space_group_name_H-M_alt 'P 4/m m m'
_space_group_IT_number 123
_space_group_name_Hall '-P 4 2'
_cell_length_a 4.623
_cell_length_b 4.623
_cell_length_c 5.873
_cell_angle_alpha 90.00
_cell_angle_beta 90.00
_cell_angle_gamma 90.00
loop_
_atom_site_label
_atom_site_type_symbol
_atom_site_fract_x
_atom_site_fract_y
_atom_site_fract_z
K1 K 0.000 0.000 0.000
P1 P 0.000 0.000 0.500
Pb1 Pb 0.500 0.500 0.500
O1 O 0.000 0.500 0.000
```

## Properties
Energy above the lowest structure with this stoichiometry: 864 meV/atom
Uncorrected formation energy: 0.75 eV/atom


6.
KPPbO2 after structural relaxation, computed with PBE-GGA.

Structure (CIF):
```
data_KPPbO2
_space_group_name_H-M_alt 'P 4/m m m'
_space_group_IT_number 123
_space_group_name_Hall '-P 4 2'
_cell_length_a 4.485
_cell_length_b 4.485
_cell_length_c 5.343
_cell_angle_alpha 90.00
_cell_angle_beta 90.00
_cell_angle_gamma 90.00
loop_
_atom_site_label
_atom_site_type_symbol
_atom_site_fract_x
_atom_site_fract_y
_atom_site_fract_z
K1 K 0.000 0.000 0.000
P1 P 0.500 0.500 0.000
Pb1 Pb 0.500 0.500 0.500
O1 O 0.000 0.500 0.500
```

## Properties
Energy above the lowest structure with this stoichiometry: 0 meV/atom
Uncorrected formation energy: -0.11 eV/atom


7.
KP2PbO8 after structural relaxation, computed with PBE-GGA.

Structure (CIF):
```
data_KP2PbO8
_space_group_name_H-M_alt 'P -3'
_space_group_IT_number 147
_space_group_name_Hall '-P 3'
_cell_length_a 5.0892
_cell_length_b 5.0892
_cell_length_c 8.3598
_cell_angle_alpha 90.00
_cell_angle_beta 90.00
_cell_angle_gamma 120.00
loop_
_atom_site_label
_atom_site_type_symbol
_atom_site_fract_x
_atom_site_fract_y
_atom_site_fract_z
K1 K 0.0000 0.0000 0.0000
P1 P 0.3333 0.6667 0.7206
Pb1 Pb 0.0000 0.0000 0.5000
O1 O 0.0585 0.3620 0.6622
O2 O 0.3333 0.6667 0.9040
```

## Properties
Uncorrected formation energy: -1.72 eV/atom


8.
K2P2PbO7 after structural relaxation, computed with PBE-GGA.

Structure (CIF):
```
data_K2P2PbO7
_space_group_name_H-M_alt 'R 3 2'
_space_group_IT_number 155
_space_group_name_Hall 'R 3 2"'
_cell_length_a 5.8421
_cell_length_b 5.8421
_cell_length_c 21.7798
_cell_angle_alpha 90.00
_cell_angle_beta 90.00
_cell_angle_gamma 120.00
loop_
_atom_site_label
_atom_site_type_symbol
_atom_site_fract_x
_atom_site_fract_y
_atom_site_fract_z
K1 K 0.0000 0.0000 0.2156
P1 P 0.0000 0.0000 0.4256
Pb1 Pb 0.0000 0.0000 0.0000
O1 O 0.0000 0.0000 0.5000
O2 O 0.0481 0.4614 0.2582
```

## Properties
Uncorrected formation energy: -2.09 eV/atom


9.
K3P2PbO8 after structural relaxation, computed with PBE-GGA.

Structure (CIF):
```
data_K3P2PbO8
_space_group_name_H-M_alt 'P -3 m 1'
_space_group_IT_number 164
_space_group_name_Hall '-P 3 2"'
_cell_length_a 5.7788
_cell_length_b 5.7788
_cell_length_c 8.0255
_cell_angle_alpha 90.00
_cell_angle_beta 90.00
_cell_angle_gamma 120.00
loop_
_atom_site_label
_atom_site_type_symbol
_atom_site_fract_x
_atom_site_fract_y
_atom_site_fract_z
K1 K 0.0000 0.0000 0.0000
K2 K 0.3333 0.6667 0.7303
P1 P 0.3333 0.6667 0.2419
Pb1 Pb 0.0000 0.0000 0.5000
O1 O 0.1846 0.3693 0.3032
O2 O 0.3333 0.6667 0.0511
```

## Properties
Uncorrected formation energy: -2.01 eV/atom


10.
K2P2PbO6 after structural relaxation, computed with PBE-GGA.

Structure (CIF):
```
data_K2P2PbO6
_space_group_name_H-M_alt 'C 1 2/m 1'
_space_group_IT_number 12
_space_group_name_Hall '-C 2y'
_cell_length_a 10.407
_cell_length_b 5.956
_cell_length_c 7.066
_cell_angle_alpha 90.00
_cell_angle_beta 122.92
_cell_angle_gamma 90.00
loop_
_atom_site_label
_atom_site_type_symbol
_atom_site_fract_x
_atom_site_fract_y
_atom_site_fract_z
K1 K 0.211 0.000 0.192
P1 P 0.034 0.500 0.178
Pb1 Pb 0.000 0.000 0.500
O1 O 0.039 0.284 0.796
O2 O 0.210 0.500 0.331
```

## Properties
Uncorrected formation energy: -2.03 eV/atom


11.
KP2PdO after structural relaxation, computed with PBE-GGA.

Structure (CIF):
```
data_KP2PdO
_space_group_name_H-M_alt 'P 4/m m m'
_space_group_IT_number 123
_space_group_name_Hall '-P 4 2'
_cell_length_a 4.611
_cell_length_b 4.611
_cell_length_c 4.737
_cell_angle_alpha 90.00
_cell_angle_beta 90.00
_cell_angle_gamma 90.00
loop_
_atom_site_label
_atom_site_type_symbol
_atom_site_fract_x
_atom_site_fract_y
_atom_site_fract_z
K1 K 0.000 0.000 0.000
P1 P 0.000 0.500 0.500
Pd1 Pd 0.500 0.500 0.500
O1 O 0.500 0.500 0.000
```

## Properties
Energy above the lowest structure with this stoichiometry: 0 meV/atom
Uncorrected formation energy: 0.30 eV/atom


12.
KP2Pd2O7 after structural relaxation, computed with PBE-GGA.

Structure (CIF):
```
data_KP2Pd2O7
_space_group_name_H-M_alt 'R 3 2'
_space_group_IT_number 155
_space_group_name_Hall 'R 3 2"'
_cell_length_a 5.6600
_cell_length_b 5.6600
_cell_length_c 23.1494
_cell_angle_alpha 90.00
_cell_angle_beta 90.00
_cell_angle_gamma 120.00
loop_
_atom_site_label
_atom_site_type_symbol
_atom_site_fract_x
_atom_site_fract_y
_atom_site_fract_z
K1 K 0.0000 0.0000 0.0000
P1 P 0.0000 0.0000 0.4310
Pd1 Pd 0.0000 0.0000 0.2380
O1 O 0.0000 0.0000 0.5000
O2 O 0.0119 0.2646 0.4111
```

## Properties
Uncorrected formation energy: -1.42 eV/atom


> What is the uncorrected formation energy in the third record?

-2.68 eV/atom